# 1
The following is a DFT calculation (GGA-PBE) of a geometry-optimized Sc2AsPb structure.

## Properties
E above lowest polymorph in meV/atom: 196.9
M_tot in μB per formula unit: 0.0
ΔH_f (0 K) in eV per atom: -0.681

Cell lengths 3.3876, 3.5571, 7.6340 Å; angles 90.00, 100.52, 90.00 degrees
Space group P2/m (No. 10)
Symmetry-distinct sites (fractional):
Sc  0.0635  0.0000  0.2876 x2
As  0.5000  0.5000  0.5000 x1
Pb  0.5000  0.5000  0.0000 x1

# 2
The following is a DFT calculation (GGA-PBE) of a geometry-optimized YReAg2 structure.

## Properties
E above lowest polymorph in meV/atom: 118.8
M_tot in μB per formula unit: 1.3
ΔH_f (0 K) in eV per atom: 0.503

Cell lengths 6.7926, 6.7926, 6.7926 Å; angles 90.00, 90.00, 90.00 degrees
Space group Fm-3m (No. 225)
Symmetry-distinct sites (fractional):
Y  0.0000  0.0000  0.0000 x4
Re  0.0000  0.0000  0.5000 x4
Ag  0.2500  0.2500  0.2500 x8

# 3
The following is a DFT calculation (GGA-PBE) of a geometry-optimized SrCa2MnNi structure.

## Properties
M_tot in μB per formula unit: 3.3
ΔH_f (0 K) in eV per atom: 0.435

Cell lengths 5.6637, 5.6637, 4.6387 Å; angles 90.00, 90.00, 90.00 degrees
Space group P4/mmm (No. 123)
Symmetry-distinct sites (fractional):
Sr  0.0000  0.0000  0.0000 x1
Ca  0.0000  0.5000  0.5000 x2
Mn  0.5000  0.5000  0.5000 x1
Ni  0.5000  0.5000  0.0000 x1

# 4
The following is a DFT calculation (GGA-PBE) of a geometry-optimized LaDy2ErTl4 structure.

## Properties
M_tot in μB per formula unit: 0.0
ΔH_f (0 K) in eV per atom: -0.346

Cell lengths 5.4222, 5.4222, 26.7643 Å; angles 90.00, 90.00, 120.00 degrees
Space group R-3m (No. 166, hexagonal axes)
Symmetry-distinct sites (fractional):
La  0.0000  0.0000  0.0000 x3
Dy  0.0000  0.0000  0.2489 x6
Er  0.0000  0.0000  0.5000 x3
Tl  0.0000  0.0000  0.1274 x6
Tl  0.0000  0.0000  0.3779 x6

# 5
The following is a DFT calculation (GGA-PBE) of a geometry-optimized ScTcPd2 structure.

## Properties
E above lowest polymorph in meV/atom: 272.3
M_tot in μB per formula unit: 0.0
ΔH_f (0 K) in eV per atom: 0.085

Cell lengths 3.8946, 3.8946, 18.3957 Å; angles 90.00, 90.00, 90.00 degrees
Space group I-42d (No. 122)
Symmetry-distinct sites (fractional):
Sc  0.0000  0.0000  0.0000 x4
Tc  0.0000  0.0000  0.5000 x4
Pd  0.2434  0.2500  0.6250 x8

# 6
The following is a DFT calculation (GGA-PBE) of a geometry-optimized K3Sc3FeSe8 structure.

## Properties
M_tot in μB per formula unit: 3.0
Raw formation energy in kJ/mol of atoms: -123.1

Cell lengths 7.7757, 7.7757, 23.4556 Å; angles 90.00, 90.00, 120.00 degrees
Space group R-3m (No. 166, hexagonal axes)
Symmetry-distinct sites (fractional):
K  0.0000  0.5000  0.0000 x9
Sc  0.0000  0.5000  0.5000 x9
Fe  0.0000  0.0000  0.5000 x3
Se  0.0000  0.0000  0.2321 x6
Se  0.0173  0.5087  0.2284 x18

# 7
The following is a DFT calculation (GGA-PBE) of a geometry-optimized Tb2PaIn3Te6 structure.

## Properties
M_tot in μB per formula unit: 2.0
Raw formation energy in kJ/mol of atoms: -77.7

Cell lengths 7.5784, 13.1215, 8.6236 Å; angles 90.00, 107.03, 90.00 degrees
Space group C2/m (No. 12)
Symmetry-distinct sites (fractional):
Tb  0.0000  0.1665  0.0000 x4
Pa  0.0000  0.5000  0.0000 x2
In  0.0000  0.0000  0.5000 x2
In  0.0000  0.3325  0.5000 x4
Te  0.2399  0.3339  0.2218 x8
Te  0.2422  0.0000  0.2225 x4

# 8
The following is a DFT calculation (GGA-PBE) of a geometry-optimized Na4B7C structure.

## Properties
E above lowest polymorph in meV/atom: 7.4
M_tot in μB per formula unit: 0.0
ΔH_f (0 K) in eV per atom: 0.230

Cell lengths 5.9331, 5.9331, 8.6595 Å; angles 90.00, 90.00, 120.00 degrees
Space group P6_3/mmc (No. 194)
Symmetry-distinct sites (fractional):
Na  0.0000  0.0000  0.0000 x2
Na  0.0000  0.5000  0.0000 x6
B  0.1622  0.3244  0.2500 x6
B  0.1776  0.3553  0.7500 x6
B  0.3333  0.6667  0.2500 x2
C  0.3333  0.6667  0.7500 x2

# 9
The following is a DFT calculation (GGA-PBE) of a geometry-optimized InSiRu2 structure.

## Properties
M_tot in μB per formula unit: 0.0
Raw formation energy in kJ/mol of atoms: -0.8

Cell lengths 3.0595, 5.0152, 8.1899 Å; angles 90.00, 90.00, 90.00 degrees
Space group Cmmm (No. 65)
Symmetry-distinct sites (fractional):
In  0.0000  0.0000  0.0000 x2
Si  0.0000  0.0000  0.5000 x2
Ru  0.0000  0.5000  0.2828 x4

# 10
The following is a DFT calculation (GGA-PBE) of a geometry-optimized LaZr3Bi structure.

## Properties
E above lowest polymorph in meV/atom: 0.0
M_tot in μB per formula unit: 0.0
ΔH_f (0 K) in eV per atom: 0.695

Cell lengths 5.4934, 5.4934, 5.4934 Å; angles 90.00, 90.00, 90.00 degrees
Space group Pm-3m (No. 221)
Symmetry-distinct sites (fractional):
La  0.0000  0.0000  0.0000 x1
Zr  0.0000  0.5000  0.5000 x3
Bi  0.5000  0.5000  0.5000 x1

# 11
The following is a DFT calculation (GGA-PBE) of a geometry-optimized MnAg3 structure.

## Properties
M_tot in μB per formula unit: 4.1
ΔH_f (0 K) in eV per atom: 0.229

Cell lengths 2.8392, 4.6973, 5.2413 Å; angles 90.00, 96.32, 90.00 degrees
Space group P2/m (No. 10)
Symmetry-distinct sites (fractional):
Mn  0.0000  0.0000  0.0000 x1
Ag  0.2382  0.5000  0.7552 x2
Ag  0.5000  0.0000  0.5000 x1

# 12
The following is a DFT calculation (GGA-PBE) of a geometry-optimized Tb2Sm6ErTh structure.

## Properties
M_tot in μB per formula unit: 0.0
ΔH_f (0 K) in eV per atom: 0.148

Cell lengths 9.2673, 14.9849, 9.6893 Å; angles 90.00, 97.73, 90.00 degrees
Space group C2/c (No. 15)
Symmetry-distinct sites (fractional):
Tb  0.2471  0.0465  0.0497 x8
Sm  0.0649  0.1781  0.4429 x8
Sm  0.0955  0.3917  0.6185 x8
Sm  0.2073  0.2193  0.8134 x8
Er  0.0000  0.4081  0.2500 x4
Th  0.0000  0.0273  0.7500 x4

Q: M_tot of number 1 (Sc2AsPb)?
A: 0.0 μB per formula unit